No. 1
An optimized crystal structure of AcPm2Ni2, computed with PBE-GGA.

The structure in POSCAR format:
```
AcPm2Ni2
1.0
5.206 0.000 0.000
0.000 4.712 0.000
-1.102 0.000 10.683
Ac Pm Ni
2 4 4
direct
0.187 0.250 0.231
0.813 0.750 0.769
0.250 0.750 0.503
0.338 0.250 0.889
0.662 0.750 0.111
0.750 0.250 0.497
0.138 0.750 0.015
0.274 0.250 0.628
0.726 0.750 0.372
0.862 0.250 0.985
```

Computed properties:
DOS(E_F) = 10.69 states/eV/cell
total energy = -52.6 eV/cell

No. 2
An optimized crystal structure of AcPmNi4, computed with PBE-GGA.

The structure in POSCAR format:
```
AcPmNi4
1.0
0.000 3.712 3.712
3.712 0.000 3.712
3.712 3.712 0.000
Ac Pm Ni
1 1 4
direct
0.000 0.000 0.000
0.250 0.250 0.250
0.126 0.625 0.625
0.625 0.126 0.625
0.625 0.625 0.126
0.625 0.625 0.625
```

Computed properties:
DOS(E_F) = 4.33 states/eV/cell
relative energy among the computed polymorphs = 41.1 meV/atom
total energy = -33.5 eV/cell

No. 3
An optimized crystal structure of Ac3PmNi, computed with PBE-GGA.

The structure in POSCAR format:
```
Ac3PmNi
1.0
5.771 0.000 0.000
0.000 5.771 0.000
0.000 0.000 5.771
Ac Pm Ni
3 1 1
direct
0.000 0.000 0.500
0.000 0.500 0.000
0.500 0.000 0.000
0.500 0.500 0.500
0.000 0.000 0.000
```

Computed properties:
DOS(E_F) = 10.04 states/eV/cell
total energy = -22.8 eV/cell